# La2Al2I

A relaxed structure of La2Al2I (PBE, Alexandria via LeMat-Bulk).

Cell: 8.881 8.881 4.002 Å, 90.00 90.00 90.00°
Space group P4/mbm (No. 127)
Unique sites:
La1 0.186 0.314 0.000
Al1 0.102 0.602 0.500
I1 0.000 0.000 0.000

Results
- Total energy: -4.20 eV/atom
- Distance to the lowest polymorph of the same formula: 0.382 eV per atom

---

# MoPtPb3

A relaxed structure of MoPtPb3 (PBE, Alexandria via LeMat-Bulk).

Cell: 5.373 5.373 5.373 Å, 90.00 90.00 90.00°
Space group Pm-3m (No. 221)
Unique sites:
Mo1 0.000 0.000 0.000
Pt1 0.500 0.500 0.500
Pb1 0.000 0.500 0.500

Results
- ΔH_f (0 K): 0.949 eV/atom
- Total energy: -4.65 eV/atom
- Distance to the lowest polymorph of the same formula: 0.045 eV per atom

---

# CsZnHgSb

A relaxed structure of CsZnHgSb (PBE, Alexandria via LeMat-Bulk).

Cell: 4.600 4.600 13.672 Å, 90.00 90.00 90.00°
Space group P4/nmm (No. 129, origin choice 2)
Unique sites:
Cs1 0.250 0.250 0.244
Zn1 0.250 0.750 0.500
Hg1 0.250 0.750 0.000
Sb1 0.250 0.250 0.616

Results
- Total energy: -1.91 eV/atom

---

# Li3AlI

A relaxed structure of Li3AlI (PBE, Alexandria via LeMat-Bulk).

Cell: 5.174 5.174 5.174 Å, 90.00 90.00 90.00°
Space group Pm-3m (No. 221)
Unique sites:
Li1 0.000 0.000 0.500
Al1 0.500 0.500 0.500
I1 0.000 0.000 0.000

Results
- Total energy: -2.20 eV/atom
- Distance to the lowest polymorph of the same formula: 0.000 eV per atom

---

# PmMnSi3

A relaxed structure of PmMnSi3 (PBE, Alexandria via LeMat-Bulk).

Cell: 4.156 4.156 9.803 Å, 90.00 90.00 90.00°
Space group I4mm (No. 107)
Unique sites:
Pm1 0.000 0.000 0.000
Mn1 0.000 0.000 0.660
Si1 0.000 0.000 0.431
Si2 0.000 0.500 0.256

Results
- Total energy: -6.51 eV/atom

---

# MgInGeO2

A relaxed structure of MgInGeO2 (PBE, Alexandria via LeMat-Bulk).

Cell: 3.981 3.981 5.632 Å, 90.00 90.00 90.00°
Space group P4/mmm (No. 123)
Unique sites:
Mg1 0.000 0.000 0.000
In1 0.000 0.000 0.500
Ge1 0.500 0.500 0.500
O1 0.000 0.500 0.000

Results
- Total energy: -4.08 eV/atom

---

# Ca2Cu2Br7

A relaxed structure of Ca2Cu2Br7 (PBE, Alexandria via LeMat-Bulk).

Cell: 8.939 12.135 6.803 Å, 90.00 100.32 90.00°
Space group C2/m (No. 12)
Unique sites:
Ca1 0.000 0.189 0.000
Cu1 0.244 0.500 0.397
Br1 0.000 0.500 0.500
Br2 0.100 0.000 0.261
Br3 0.245 0.323 0.227

Results
- Total energy: -3.35 eV/atom

---

# AlHgGe

A relaxed structure of AlHgGe (PBE, Alexandria via LeMat-Bulk).

Cell: 6.420 6.420 6.420 Å, 90.00 90.00 90.00°
Space group F-43m (No. 216)
Unique sites:
Al1 0.000 0.000 0.000
Hg1 0.250 0.250 0.250
Ge1 0.250 0.250 0.750

Results
- ΔH_f (0 K): 0.186 eV/atom
- Total energy: -2.70 eV/atom
- Distance to the lowest polymorph of the same formula: 0.026 eV per atom

---

# Sc4Al12Ir

A relaxed structure of Sc4Al12Ir (PBE, Alexandria via LeMat-Bulk).

Cell: 8.410 8.410 8.410 Å, 90.00 90.00 90.00°
Space group Im-3m (No. 229)
Unique sites:
Sc1 0.250 0.250 0.250
Al1 0.000 0.000 0.289
Al2 0.000 0.250 0.500
Ir1 0.000 0.000 0.000

Results
- ΔH_f (0 K): -0.511 eV/atom
- Total energy: -5.16 eV/atom

---

# IrRuPt

A relaxed structure of IrRuPt (PBE, Alexandria via LeMat-Bulk).

Cell: 2.747 3.875 8.261 Å, 90.00 90.00 90.00°
Space group Imm2 (No. 44)
Unique sites:
Ir1 0.000 0.000 0.000
Ru1 0.000 0.000 0.345
Pt1 0.000 0.000 0.673

Results
- ΔH_f (0 K): -0.001 eV/atom
- Total energy: -8.06 eV/atom
- Distance to the lowest polymorph of the same formula: 0.029 eV per atom

---

# Ge2TeAs2

A relaxed structure of Ge2TeAs2 (PBE, Alexandria via LeMat-Bulk).

Cell: 4.306 4.306 12.607 Å, 90.00 90.00 90.00°
Space group I4/mmm (No. 139)
Unique sites:
Ge1 0.000 0.500 0.250
Te1 0.000 0.000 0.000
As1 0.000 0.000 0.377

Results
- Total energy: -4.06 eV/atom
- Distance to the lowest polymorph of the same formula: 0.065 eV per atom

---

# Fe2Ni3Pd2

A relaxed structure of Fe2Ni3Pd2 (PBE, Alexandria via LeMat-Bulk).

Cell: 8.350 3.661 5.847 Å, 90.00 98.06 90.00°
Space group C2/m (No. 12)
Unique sites:
Fe1 0.145 0.000 0.417
Ni1 0.000 0.000 0.000
Ni2 0.212 0.500 0.147
Pd1 0.074 0.500 0.721

Results
- ΔH_f (0 K): -0.012 eV/atom
- Total energy: -6.39 eV/atom
- Distance to the lowest polymorph of the same formula: 0.000 eV per atom

---

# CdInPb6

A relaxed structure of CdInPb6 (PBE, Alexandria via LeMat-Bulk).

Cell: 6.077 9.724 9.211 Å, 90.00 104.62 90.00°
Space group C2/m (No. 12)
Unique sites:
Cd1 0.000 0.000 0.000
In1 0.000 0.500 0.500
Pb1 0.039 0.000 0.678
Pb2 0.049 0.322 0.826

Results
- ΔH_f (0 K): 0.112 eV/atom
- Total energy: -3.13 eV/atom
- Distance to the lowest polymorph of the same formula: 0.092 eV per atom

---

# CsPd2IO

A relaxed structure of CsPd2IO (PBE, Alexandria via LeMat-Bulk).

Cell: 4.720 4.720 5.380 Å, 90.00 90.00 90.00°
Space group P4/mmm (No. 123)
Unique sites:
Cs1 0.000 0.000 0.000
Pd1 0.000 0.500 0.500
I1 0.500 0.500 0.000
O1 0.500 0.500 0.500

Results
- Total energy: -3.36 eV/atom

---

# LaCu2Te2

A relaxed structure of LaCu2Te2 (PBE, Alexandria via LeMat-Bulk).

Cell: 5.042 5.042 9.217 Å, 90.00 90.00 90.00°
Space group I4/mmm (No. 139)
Unique sites:
La1 0.000 0.000 0.000
Cu1 0.000 0.000 0.368
Te1 0.000 0.500 0.250

Results
- Total energy: -4.37 eV/atom
- Distance to the lowest polymorph of the same formula: 0.109 eV per atom

---

# Tb2SmEr9

A relaxed structure of Tb2SmEr9 (PBE, Alexandria via LeMat-Bulk).

Cell: 11.1381 11.1381 3.4895 Å, 90.00 90.00 120.00°
Space group P6/mmm (No. 191)
Unique sites:
Tb1 0.3333 0.6667 0.0000
Sm1 0.0000 0.0000 0.0000
Er1 0.0000 0.5000 0.0000
Er2 0.1773 0.3546 0.5000

Results
- ΔH_f (0 K): 0.049 eV/atom
- Total energy: -4.54 eV/atom
- Distance to the lowest polymorph of the same formula: 0.026 eV per atom

---

# PmNpS

A relaxed structure of PmNpS (PBE, Alexandria via LeMat-Bulk).

Cell: 5.446 5.446 11.075 Å, 90.00 90.00 90.00°
Space group Cmcm (No. 63)
Unique sites:
Pm1 0.000 0.000 0.000
Np1 0.000 0.499 0.250
S1 0.000 0.001 0.750

Results
- Total energy: -8.04 eV/atom

---

# H4Pd4Au

A relaxed structure of H4Pd4Au (PBE, Alexandria via LeMat-Bulk).

Cell: 7.846 7.846 3.034 Å, 90.00 90.00 90.00°
Space group I4/m (No. 87)
Unique sites:
H1 0.140 0.706 0.000
Pd1 0.094 0.290 0.000
Au1 0.000 0.000 0.500

Results
- Total energy: -4.24 eV/atom

---

# MgCdW2

A relaxed structure of MgCdW2 (PBE, Alexandria via LeMat-Bulk).

Cell: 3.855 3.855 4.676 Å, 90.00 90.00 90.00°
Space group P4/mmm (No. 123)
Unique sites:
Mg1 0.000 0.000 0.000
Cd1 0.500 0.500 0.000
W1 0.000 0.500 0.500

Results
- ΔH_f (0 K): 0.520 eV/atom
- Total energy: -6.58 eV/atom
- Distance to the lowest polymorph of the same formula: 0.232 eV per atom

---

# LiW2

A relaxed structure of LiW2 (PBE, Alexandria via LeMat-Bulk).

Cell: 3.305 3.305 8.180 Å, 90.00 90.00 90.00°
Space group I4/mmm (No. 139)
Unique sites:
Li1 0.000 0.000 0.000
W1 0.000 0.000 0.331

Results
- ΔH_f (0 K): 0.539 eV/atom
- Total energy: -8.73 eV/atom
- Distance to the lowest polymorph of the same formula: 0.176 eV per atom